# 1
DFT (PBE-GGA) results for a geometry-optimized Zr3Te structure.

Properties
Crystal system ... tetragonal
Formation energy from raw total energies ... -0.49 eV/atom

a = 5.759 Å, b = 11.297 Å, c = 11.297 Å
α = 90.00°, β = 90.00°, γ = 90.00°
Fractional coordinates of all 32 atoms:
Zr: 0.011 0.285 0.814
Zr: 0.011 0.715 0.186
Zr: 0.511 0.686 0.785
Zr: 0.511 0.314 0.215
Zr: 0.489 0.215 0.686
Zr: 0.489 0.785 0.314
Zr: 0.989 0.814 0.715
Zr: 0.989 0.186 0.285
Zr: 0.544 0.400 0.917
Zr: 0.544 0.600 0.083
Zr: 0.044 0.583 0.900
Zr: 0.044 0.417 0.100
Zr: 0.956 0.100 0.583
Zr: 0.956 0.900 0.417
Zr: 0.456 0.917 0.600
Zr: 0.456 0.083 0.400
Zr: 0.710 0.023 0.854
Zr: 0.710 0.977 0.146
Zr: 0.210 0.646 0.523
Zr: 0.210 0.354 0.477
Zr: 0.790 0.477 0.646
Zr: 0.790 0.523 0.354
Zr: 0.290 0.854 0.977
Zr: 0.290 0.146 0.023
Te: 0.791 0.795 0.965
Te: 0.791 0.205 0.035
Te: 0.291 0.535 0.295
Te: 0.291 0.465 0.705
Te: 0.709 0.705 0.535
Te: 0.709 0.295 0.465
Te: 0.209 0.965 0.205
Te: 0.209 0.035 0.795

# 2
DFT (PBE-GGA) results for a geometry-optimized Al2InBr structure.

Properties
Crystal system ... trigonal
Formation energy from raw total energies ... 0.10 eV/atom
Energy relative to the lowest polymorph listed for this composition ... 81 meV/atom

a = 9.580 Å, b = 9.580 Å, c = 9.580 Å
α = 20.32°, β = 20.32°, γ = 20.32°
Fractional coordinates of all 4 atoms:
Al: 0.996 0.996 0.996
Al: 0.504 0.504 0.504
Br: 0.250 0.250 0.250
In: 0.750 0.750 0.750

# 3
DFT (PBE-GGA) results for a geometry-optimized LuUCo2 structure.

Properties
Crystal system ... tetragonal
ΔE_f ... -0.155 eV per atom

a = 3.246 Å, b = 3.246 Å, c = 6.631 Å
α = 90.00°, β = 90.00°, γ = 90.00°
Site moments in Bohr magnetons follow the coordinates.
Fractional coordinates of all 4 atoms:
Co: 0.000 0.000 0.788  -0.23
Co: 0.000 0.000 0.212  -0.23
Lu: 0.500 0.500 0.500  0.04
U: 0.500 0.500 0.000  1.16

# 4
DFT (PBE-GGA) results for a geometry-optimized BeRe2W structure.

Properties
Crystal system ... monoclinic
ΔE_f ... 0.143 eV per atom

a = 4.254 Å, b = 2.669 Å, c = 5.091 Å
α = 80.65°, β = 90.00°, γ = 90.00°
Fractional coordinates of all 4 atoms:
Re: 0.000 0.012 0.986
Re: 0.000 0.488 0.514
W: 0.500 0.250 0.250
Be: 0.500 0.750 0.750

# 5
DFT (PBE-GGA) results for a geometry-optimized Ce4PuPb structure.

Properties
Crystal system ... monoclinic
Energy relative to the lowest polymorph listed for this composition ... 0 meV/atom
ΔE_f ... -0.186 eV per atom

a = 6.165 Å, b = 6.922 Å, c = 8.715 Å
α = 108.05°, β = 110.71°, γ = 90.00°
Fractional coordinates of all 12 atoms:
Ce: 0.491 0.040 0.784
Ce: 0.706 0.460 0.216
Ce: 0.509 0.960 0.216
Ce: 0.294 0.540 0.784
Ce: 0.883 0.852 0.613
Ce: 0.270 0.648 0.387
Ce: 0.117 0.148 0.387
Ce: 0.730 0.352 0.613
Pu: 0.500 0.000 0.500
Pu: 0.000 0.500 0.500
Pb: 0.880 0.750 0.000
Pb: 0.120 0.250 0.000

# 6
DFT (PBE-GGA) results for a geometry-optimized Pr4SmDy6 structure.

Properties
Crystal system ... tetragonal
Energy relative to the lowest polymorph listed for this composition ... 0 meV/atom
ΔE_f ... 0.298 eV per atom

a = 9.724 Å, b = 9.724 Å, c = 9.724 Å
α = 58.67°, β = 139.46°, γ = 139.46°
Fractional coordinates of all 11 atoms:
Pr: 0.000 0.633 0.015
Pr: 0.382 0.367 0.367
Pr: 0.000 0.015 0.633
Pr: 0.618 0.985 0.985
Sm: 0.000 0.000 0.000
Dy: 0.000 0.799 0.445
Dy: 0.000 0.445 0.799
Dy: 0.353 0.555 0.555
Dy: 0.500 0.500 0.000
Dy: 0.647 0.201 0.201
Dy: 0.500 0.000 0.500

# 7
DFT (PBE-GGA) results for a geometry-optimized Tb6Sn2Ir structure.

Properties
Crystal system ... orthorhombic
ΔE_f ... -0.489 eV per atom

a = 5.155 Å, b = 7.152 Å, c = 8.693 Å
α = 114.29°, β = 107.24°, γ = 90.00°
Fractional coordinates of all 9 atoms:
Tb: 0.152 0.392 0.303
Tb: 0.848 0.090 0.697
Tb: 0.848 0.608 0.697
Tb: 0.500 0.227 0.000
Tb: 0.152 0.910 0.303
Tb: 0.500 0.773 0.000
Sn: 0.673 0.673 0.345
Sn: 0.327 0.327 0.655
Ir: 0.000 0.000 0.000

# 8
DFT (PBE-GGA) results for a geometry-optimized MgCoBr structure.

Properties
Crystal system ... orthorhombic
Formation energy from raw total energies ... -0.07 eV/atom
Energy relative to the lowest polymorph listed for this composition ... 407 meV/atom

a = 6.425 Å, b = 3.347 Å, c = 12.126 Å
α = 90.00°, β = 90.00°, γ = 90.00°
Site moments in Bohr magnetons follow the coordinates.
Fractional coordinates of all 12 atoms:
Mg: 0.725 0.250 0.351  -0.01
Mg: 0.775 0.750 0.851  -0.01
Mg: 0.275 0.750 0.649  -0.01
Mg: 0.225 0.250 0.149  -0.01
Co: 0.396 0.250 0.480  1.73
Co: 0.104 0.750 0.980  1.73
Co: 0.604 0.750 0.520  1.73
Co: 0.896 0.250 0.020  1.73
Br: 0.391 0.250 0.833  0.01
Br: 0.109 0.750 0.333  0.01
Br: 0.609 0.750 0.167  0.01
Br: 0.891 0.250 0.667  0.01

# 9
DFT (PBE-GGA) results for a geometry-optimized CuSi2Te structure.

Properties
Crystal system ... monoclinic
Formation energy from raw total energies ... 0.27 eV/atom

a = 3.803 Å, b = 4.215 Å, c = 5.248 Å
α = 91.19°, β = 90.00°, γ = 90.00°
Fractional coordinates of all 4 atoms:
Cu: 0.500 0.725 0.832
Si: 0.000 0.925 0.093
Si: 0.500 0.265 0.070
Te: 0.000 0.584 0.505

# 10
DFT (PBE-GGA) results for a geometry-optimized Cs5Ag2Au5 structure.

Properties
Crystal system ... monoclinic
ΔE_f ... -0.183 eV per atom

a = 4.763 Å, b = 9.175 Å, c = 11.247 Å
α = 80.10°, β = 77.78°, γ = 74.96°
Fractional coordinates of all 12 atoms:
Cs: 0.000 0.500 0.500
Cs: 0.694 0.703 0.909
Cs: 0.369 0.939 0.324
Cs: 0.631 0.061 0.676
Cs: 0.306 0.297 0.091
Ag: 0.398 0.436 0.769
Ag: 0.602 0.564 0.231
Au: 0.693 0.261 0.354
Au: 0.940 0.279 0.840
Au: 0.060 0.721 0.160
Au: 0.307 0.739 0.646
Au: 0.000 0.000 0.000

# 11
DFT (PBE-GGA) results for a geometry-optimized LaSc2Nb structure.

Properties
Crystal system ... tetragonal
Energy relative to the lowest polymorph listed for this composition ... 933 meV/atom
ΔE_f ... 1.104 eV per atom

a = 5.045 Å, b = 5.045 Å, c = 10.525 Å
α = 76.13°, β = 76.13°, γ = 90.00°
Fractional coordinates of all 8 atoms:
Sc: 0.375 0.125 0.250
Sc: 0.375 0.625 0.250
Sc: 0.375 0.625 0.750
Sc: 0.875 0.625 0.750
Nb: 0.500 0.500 0.000
Nb: 0.250 0.750 0.500
La: 0.000 0.000 0.000
La: 0.750 0.250 0.500

# 12
DFT (PBE-GGA) results for a geometry-optimized Nb3CoRu structure.

Properties
Crystal system ... cubic
Energy relative to the lowest polymorph listed for this composition ... 550 meV/atom
ΔE_f ... 1.382 eV per atom

a = 4.750 Å, b = 4.750 Å, c = 4.750 Å
α = 90.00°, β = 90.00°, γ = 90.00°
Fractional coordinates of all 5 atoms:
Ru: 0.000 0.000 0.000
Nb: 0.000 0.500 0.000
Nb: 0.000 0.000 0.500
Nb: 0.500 0.000 0.000
Co: 0.500 0.500 0.500

# 13
DFT (PBE-GGA) results for a geometry-optimized ThHg2I8 structure.

Properties
Crystal system ... monoclinic
Formation energy from raw total energies ... -0.67 eV/atom

a = 8.762 Å, b = 8.455 Å, c = 11.420 Å
α = 107.10°, β = 90.00°, γ = 121.21°
Fractional coordinates of all 11 atoms:
I: 0.916 0.317 0.121
I: 0.401 0.317 0.121
I: 0.084 0.683 0.879
I: 0.310 0.620 0.538
I: 0.599 0.683 0.879
I: 0.955 0.909 0.247
I: 0.045 0.091 0.753
I: 0.690 0.380 0.462
Hg: 0.829 0.658 0.685
Hg: 0.171 0.342 0.315
Th: 0.000 0.000 0.000

# 14
DFT (PBE-GGA) results for a geometry-optimized Mo2RuW structure.

Properties
Crystal system ... orthorhombic
Energy relative to the lowest polymorph listed for this composition ... 4 meV/atom
ΔE_f ... 0.113 eV per atom

a = 2.738 Å, b = 2.738 Å, c = 8.739 Å
α = 90.00°, β = 90.00°, γ = 108.58°
Site moments in Bohr magnetons follow the coordinates.
Fractional coordinates of all 4 atoms:
Mo: 0.000 0.000 0.000  -0.01
Mo: 0.500 0.500 0.255  0.00
Ru: 0.000 0.000 0.500  0.28
W: 0.500 0.500 0.744  0.00

# 15
DFT (PBE-GGA) results for a geometry-optimized FeNiIr2 structure.

Properties
Crystal system ... tetragonal
Energy relative to the lowest polymorph listed for this composition ... 3 meV/atom
ΔE_f ... -0.038 eV per atom

a = 4.484 Å, b = 4.484 Å, c = 4.484 Å
α = 129.82°, β = 129.82°, γ = 73.70°
Site moments in Bohr magnetons follow the coordinates.
Fractional coordinates of all 4 atoms:
Ni: 0.250 0.750 0.500  -0.15
Ir: 0.000 0.000 0.000  -0.03
Ir: 0.500 0.500 0.000  -0.03
Fe: 0.750 0.250 0.500  2.42

# 16
DFT (PBE-GGA) results for a geometry-optimized CdAg2Rh structure.

Properties
Crystal system ... orthorhombic
ΔE_f ... 0.107 eV per atom

a = 2.893 Å, b = 4.178 Å, c = 5.744 Å
α = 90.00°, β = 90.00°, γ = 90.00°
Site moments in Bohr magnetons follow the coordinates.
Fractional coordinates of all 4 atoms:
Cd: 0.500 0.500 0.000  0.00
Ag: 0.000 0.000 0.741  0.00
Ag: 0.000 0.000 0.259  0.00
Rh: 0.500 0.500 0.500  0.22

# 17
DFT (PBE-GGA) results for a geometry-optimized MnHg2P structure.

Properties
Crystal system ... monoclinic
ΔE_f ... 0.116 eV per atom

a = 7.386 Å, b = 7.386 Å, c = 3.685 Å
α = 85.14°, β = 85.14°, γ = 24.15°
Site moments in Bohr magnetons follow the coordinates.
Fractional coordinates of all 4 atoms:
Hg: 0.071 0.071 0.967  0.01
Hg: 0.429 0.429 0.533  0.01
Mn: 0.750 0.750 0.750  3.41
P: 0.250 0.250 0.250  -0.05

# 18
DFT (PBE-GGA) results for a geometry-optimized YSeI2O structure.

Properties
Crystal system ... tetragonal
Formation energy from raw total energies ... -0.82 eV/atom
Energy relative to the lowest polymorph listed for this composition ... 0 meV/atom

a = 6.282 Å, b = 6.282 Å, c = 4.168 Å
α = 90.00°, β = 90.00°, γ = 90.00°
Site moments in Bohr magnetons follow the coordinates.
Fractional coordinates of all 5 atoms:
I: 0.000 0.500 0.000  0.23
I: 0.500 0.000 0.000  0.23
Y: 0.000 0.000 0.000  0.01
O: 0.000 0.000 0.500  0.05
Se: 0.500 0.500 0.500  1.24

# 19
DFT (PBE-GGA) results for a geometry-optimized La2Y7Th2 structure.

Properties
Crystal system ... monoclinic
Energy relative to the lowest polymorph listed for this composition ... 0 meV/atom
ΔE_f ... 0.188 eV per atom

a = 6.081 Å, b = 8.172 Å, c = 8.172 Å
α = 91.04°, β = 73.97°, γ = 73.97°
Fractional coordinates of all 11 atoms:
La: 0.591 0.772 0.772
La: 0.409 0.228 0.228
Y: 0.164 0.065 0.593
Y: 0.836 0.407 0.935
Y: 0.836 0.935 0.407
Y: 0.164 0.593 0.065
Y: 0.000 0.000 0.000
Y: 0.800 0.412 0.412
Y: 0.200 0.588 0.588
Th: 0.500 0.783 0.217
Th: 0.500 0.217 0.783

# 20
DFT (PBE-GGA) results for a geometry-optimized Pr2NdIr structure.

Properties
Crystal system ... trigonal
Energy relative to the lowest polymorph listed for this composition ... 366 meV/atom
ΔE_f ... -0.063 eV per atom

a = 3.919 Å, b = 3.919 Å, c = 11.012 Å
α = 79.75°, β = 79.75°, γ = 60.00°
Site moments in Bohr magnetons follow the coordinates.
Fractional coordinates of all 4 atoms:
Pr: 0.114 0.114 0.659  0.05
Pr: 0.886 0.886 0.341  0.05
Ir: 0.500 0.500 0.500  0.01
Nd: 0.000 0.000 0.000  0.24

Number 1: N(E_F) 27.049 states/eV per cell. Number 2: N(E_F) 1.135 states/eV per cell. Number 3: N(E_F) 5.077 states/eV per cell. Number 4: N(E_F) 2.772 states/eV per cell. Number 5: N(E_F) 22.254 states/eV per cell. Number 6: N(E_F) 14.709 states/eV per cell. Number 7: N(E_F) 7.194 states/eV per cell. Number 8: N(E_F) 10.590 states/eV per cell. Number 9: N(E_F) 1.954 states/eV per cell. Number 10: N(E_F) 3.446 states/eV per cell. Number 11: N(E_F) 16.991 states/eV per cell. Number 12: N(E_F) 8.448 states/eV per cell. Number 13: N(E_F) 0.000 states/eV per cell. Number 14: N(E_F) 4.106 states/eV per cell. Number 15: N(E_F) 4.179 states/eV per cell. Number 16: N(E_F) 2.973 states/eV per cell. Number 17: N(E_F) 2.132 states/eV per cell. Number 18: N(E_F) 2.928 states/eV per cell. Number 19: N(E_F) 18.115 states/eV per cell. Number 20: N(E_F) 5.894 states/eV per cell.